Record 1
Compound: YSn3
Source: Alexandria
Functional: GGA-PBEsol
Structure: relaxed

Properties
Energy   -5.339 eV/atom
Total moment   0.0 μB/cell

Cell: 4.344 4.373 11.115 Å, 101.35 90.00 90.00°
Sites, in units of the cell vectors:
Sn (0.500, 0.869, 0.737)
Sn (0.500, 0.735, 0.469)
Sn (0.000, 0.598, 0.196)
Sn (0.000, 0.975, 0.951)
Sn (0.500, 0.099, 0.197)
Sn (0.000, 0.359, 0.718)
Y (0.000, 0.210, 0.419)
Y (0.500, 0.482, 0.965)

---

Record 2
Compound: YZn3Sn
Source: Alexandria
Functional: GGA-PBEsol
Structure: relaxed

Properties
Energy   -2.230 eV/atom
Total moment   0.0 μB/cell

Cell: 5.262 5.262 5.262 Å, 90.00 90.00 90.00°
Sites, in units of the cell vectors:
Y (0.000, 0.000, 0.000)
Zn (0.500, 0.000, 0.000)
Zn (0.000, 0.000, 0.500)
Zn (0.000, 0.500, 0.000)
Sn (0.500, 0.500, 0.500)

---

Record 3
Compound: YZnSn3
Source: Alexandria
Functional: GGA-PBEsol
Structure: relaxed

Properties
Energy   -4.124 eV/atom
Total moment   0.0 μB/cell

Cell: 5.122 5.122 5.122 Å, 90.00 90.00 90.00°
Sites, in units of the cell vectors:
Sn (0.000, 0.000, 0.500)
Sn (0.500, 0.000, 0.000)
Sn (0.000, 0.500, 0.000)
Zn (0.000, 0.000, 0.000)
Y (0.500, 0.500, 0.500)